Density functional theory data (PBE) for Mg2HgSe after structural relaxation.

The structure in POSCAR format:
```
Mg2HgSe
1.0
-5.089 -0.176 0.233
-2.731 -0.529 -4.272
-2.444 -4.374 -0.938
Hg Mg Se
1 2 1
direct
0.500 0.500 0.500 Hg
0.000 0.000 0.000 Mg
0.250 0.250 0.250 Mg
0.750 0.750 0.750 Se
```

Properties
Uncorrected formation energy   -0.051 eV per atom
Calculated total energy   -1.795 eV/atom
Energy above the lowest structure with this stoichiometry   2.06 eV/f.u.
Total moment   0.000 μB/atom